No. 1
Computed, not measured: CaCrS2 after structural relaxation at the GGA-PBE level of DFT.

Lattice parameters (Å, degrees): 4.4870 4.4870 4.4870 60.00 60.00 60.00
Fractional positions:
S  0.2500  0.2500  0.2500
S  0.7500  0.7500  0.7500
Ca  0.0000  0.0000  0.0000
Cr  0.5000  0.5000  0.5000

Computed properties:
total moment: 0.00 Bohr magnetons per cell
space group: Fm-3m (225)
formation energy without anion corrections: -0.51 eV per atom
uncorrected energy: -5.482 eV/atom



No. 2
Computed, not measured: CeHfTc4 after structural relaxation at the GGA-PBE level of DFT.

Lattice parameters (Å, degrees): 5.3497 5.3497 5.3497 60.00 60.00 60.00
Fractional positions:
Tc  0.6255  0.6255  0.1234
Tc  0.1234  0.6255  0.6255
Tc  0.6255  0.1234  0.6255
Tc  0.6255  0.6255  0.6255
Ce  0.2500  0.2500  0.2500
Hf  0.0000  0.0000  0.0000

Computed properties:
total moment: 0.00 Bohr magnetons per cell
space group: F-43m (216)
energy relative to the elements: -0.10 eV/atom
uncorrected energy: -9.662 eV/atom



No. 3
Computed, not measured: Li2GeBi after structural relaxation at the GGA-PBE level of DFT.

Lattice parameters (Å, degrees): 4.2035 4.3897 4.3897 90.00 90.00 90.00
Fractional positions:
Bi  0.5000  0.5000  0.5000
Li  0.0000  0.5000  0.0000
Li  0.0000  0.0000  0.5000
Ge  0.5000  0.0000  0.0000

Computed properties:
total moment: 0.00 Bohr magnetons per cell
space group: P4/mmm (123)
energy relative to the elements: -0.27 eV/atom
uncorrected energy: -3.356 eV/atom



No. 4
Computed, not measured: HoMn4B2 after structural relaxation at the GGA-PBE level of DFT.

Lattice parameters (Å, degrees): 3.7131 3.7361 6.3482 107.11 90.00 90.00
Fractional positions:
Mn  0.0000  0.3056  0.6112
Mn  0.0000  0.6944  0.3888
Mn  0.5000  0.8084  0.6167
Mn  0.5000  0.1916  0.3833
Ho  0.0000  0.0000  0.0000
B  0.5000  0.6149  0.2298
B  0.5000  0.3851  0.7702

Computed properties:
total moment: 0.01 Bohr magnetons per cell
space group: Cmmm (65)
energy relative to the elements: -0.22 eV/atom
uncorrected energy: -8.024 eV/atom



No. 5
Computed, not measured: TiInAu4 after structural relaxation at the GGA-PBE level of DFT.

Lattice parameters (Å, degrees): 3.2563 3.7768 8.9820 90.00 90.00 90.00
Fractional positions:
In  0.5000  0.0000  0.0000
Au  0.0000  0.4999  0.1765
Au  0.5000  0.0000  0.3453
Au  0.5000  0.0000  0.6547
Au  0.0000  0.5001  0.8235
Ti  0.0000  0.5000  0.5000

Computed properties:
total moment: 0.63 Bohr magnetons per cell
space group: Pmmm (47)
energy relative to the elements: -0.24 eV/atom
uncorrected energy: -4.194 eV/atom



No. 6
Computed, not measured: BaTcTe3 after structural relaxation at the GGA-PBE level of DFT.

Lattice parameters (Å, degrees): 6.3715 6.3715 6.3715 90.00 90.00 90.00
Fractional positions:
Te  0.0000  0.5000  0.0000
Te  0.5000  0.0000  0.0000
Te  0.0000  0.0000  0.5000
Tc  0.5000  0.5000  0.5000
Ba  0.0000  0.0000  0.0000

Computed properties:
total moment: 3.13 Bohr magnetons per cell
space group: Pm-3m (221)
formation energy without anion corrections: 1.18 eV per atom
uncorrected energy: -3.165 eV/atom



No. 7
Computed, not measured: ZrScSe2 after structural relaxation at the GGA-PBE level of DFT.

Lattice parameters (Å, degrees): 4.7620 4.7620 4.7620 60.00 60.00 60.00
Fractional positions:
Zr  0.5000  0.5000  0.5000
Se  0.7500  0.7500  0.7500
Se  0.2500  0.2500  0.2500
Sc  0.0000  0.0000  0.0000

Computed properties:
total moment: 0.00 Bohr magnetons per cell
space group: Fm-3m (225)
formation energy without anion corrections: -1.21 eV per atom
uncorrected energy: -6.673 eV/atom



No. 8
Computed, not measured: In2RuW after structural relaxation at the GGA-PBE level of DFT.

Lattice parameters (Å, degrees): 9.5397 9.5397 9.5397 18.32 18.32 18.32
Fractional positions:
In  0.0052  0.0052  0.0052
In  0.2423  0.2423  0.2423
Ru  0.4936  0.4936  0.4936
W  0.7589  0.7589  0.7589

Computed properties:
total moment: 0.00 Bohr magnetons per cell
space group: R3m (160)
energy relative to the elements: 0.28 eV/atom
uncorrected energy: -6.645 eV/atom



Mass density list, top to bottom, in kg/m3: 4061, 10900, 6058, 8016, 14289, 3968, 6396, 11402